Entry 1:
{
  "formula": "PaNi4Sn6",
  "functional": "GGA-PBE",
  "state": "relaxed",
  "lattice_angstrom": [[0.000, 4.817, 4.729], [4.787, 0.000, 4.729], [4.787, 4.817, 0.000]],
  "species": ["Pa", "Ni", "Ni", "Ni", "Ni", "Sn", "Sn", "Sn", "Sn", "Sn", "Sn"],
  "frac_coords": [[0.000, 0.000, 0.000], [0.262, 0.596, 0.738], [0.404, 0.739, 0.261], [0.596, 0.262, 0.404], [0.739, 0.404, 0.596], [0.000, 0.000, 0.500], [0.109, 0.469, 0.531], [0.469, 0.109, 0.891], [0.500, 0.500, 0.000], [0.530, 0.891, 0.470], [0.891, 0.530, 0.109]],
  "energy_ev_per_cell": -58.66,
  "delta_e_f_ev_per_atom": -0.184,
  "magnetic_moment_mub_per_cell": 1.03
}

---

Entry 2:
{
  "formula": "CaZnFe",
  "functional": "GGA-PBE",
  "state": "relaxed",
  "lattice_angstrom": [[3.190, 0.000, 0.000], [-1.595, 2.763, 0.000], [0.000, 0.000, 6.694]],
  "species": ["Ca", "Zn", "Fe"],
  "frac_coords": [[0.000, 0.000, 0.000], [0.667, 0.333, 0.620], [0.333, 0.667, 0.348]],
  "energy_ev_per_cell": -10.23,
  "delta_e_f_ev_per_atom": 0.503,
  "magnetic_moment_mub_per_cell": 2.09
}

---

Entry 3:
{
  "formula": "Ta2InAs",
  "functional": "GGA-PBE",
  "state": "relaxed",
  "lattice_angstrom": [[3.016, 0.000, 0.000], [0.000, 4.345, 0.000], [-1.398, 0.000, 5.763]],
  "species": ["Ta", "Ta", "In", "As"],
  "frac_coords": [[0.076, 0.000, 0.268], [0.924, 0.000, 0.732], [0.500, 0.500, 0.000], [0.000, 0.500, 0.500]],
  "energy_ev_per_cell": -30.60,
  "e_above_lowest_polymorph_mev_per_atom": 149.1,
  "delta_e_f_ev_per_atom": 0.123,
  "magnetic_moment_mub_per_cell": 0.00
}

---

> Number 3 is which compound?

Ta2InAs